Material: LiPmTl2F6
Method: DFT, PBE
State: relaxed

space group	C2/m
E	-5.1433	eV/atom
energy relative to the elements, uncorrected	-66.43	kcal/mol of atoms

Unit cell a=6.209 b=6.209 c=6.222 alpha=120.00 beta=120.00 gamma=89.98
Element x y z (fractional)
Li: 0.000 0.000 0.000
Pm: 0.500 0.500 0.000
Tl: 0.749 0.251 0.500
Tl: 0.251 0.750 0.500
F: 0.757 0.758 0.998
F: 0.757 0.758 0.515
F: 0.243 0.243 0.001
F: 0.758 0.242 0.999
F: 0.242 0.243 0.485
F: 0.242 0.758 0.999